1.
VASP calculation (GGA-PBE) on a relaxed structure of PmSm6Ho3Tm2.

Lattice parameters (Å, degrees): 6.2070 6.2070 11.8160 95.01 95.01 119.98
Fractional positions:
Sm 0.2503 0.2503 0.7496
Sm 0.0838 0.4180 0.2507
Sm 0.7497 0.7497 0.2504
Sm 0.9162 0.5820 0.7493
Sm 0.4180 0.0838 0.2507
Sm 0.5820 0.9162 0.7493
Ho 0.8331 0.1669 0.5000
Ho 0.5000 0.5000 0.5000
Ho 0.1669 0.8331 0.5000
Tm 0.3333 0.6667 0.0000
Tm 0.6667 0.3333 0.0000
Pm 0.0000 0.0000 0.0000

**Total magnetization**: 0.00 μB per formula unit
**Total energy**: -55.55 eV for the cell shown

2.
VASP calculation (GGA-PBE) on a relaxed structure of CeClO.

Lattice parameters (Å, degrees): 4.6033 3.8931 3.8931 120.00 90.00 90.00
Last column: magnetic moment on the atom in μB.
Fractional positions:
Cl 0.6668 0.6667 0.3333  -0.01
O 0.1669 0.3333 0.6667  -0.03
Ce 0.1663 0.0000 0.0000  0.91

**Total magnetization**: 1.00 μB per formula unit
**Raw formation energy**: -2816 meV per atom

3.
VASP calculation (GGA-PBE) on a relaxed structure of CaBW3.

Lattice parameters (Å, degrees): 4.5745 4.5745 4.5745 90.00 90.00 90.00
Fractional positions:
B 0.5000 0.5000 0.5000
W 0.0000 0.5000 0.0000
W 0.5000 0.0000 0.0000
W 0.0000 0.0000 0.5000
Ca 0.0000 0.0000 0.0000

**Total magnetization**: 0.00 μB per formula unit
**Offset from the most stable computed form**: 3377 meV per atom

4.
VASP calculation (GGA-PBE) on a relaxed structure of Be3Pd5.

Lattice parameters (Å, degrees): 2.7862 2.7862 12.7299 90.00 90.00 90.00
Fractional positions:
Pd 0.0000 0.0000 0.2234
Pd 0.5000 0.5000 0.3890
Pd 0.0000 0.0000 0.0000
Pd 0.5000 0.5000 0.6110
Pd 0.0000 0.0000 0.7766
Be 0.0000 0.0000 0.5000
Be 0.5000 0.5000 0.8816
Be 0.5000 0.5000 0.1184

**Total magnetization**: 0.00 μB per formula unit
**Total energy**: -41.47 eV for the cell shown

- total magnetization of number 1 (PmSm6Ho3Tm2)?
  0.00 μB per formula unit

- total magnetization of number 3 (CaBW3)?
  0.00 μB per formula unit